*A*
The following is a PBE calculation of a relaxed structure of KAg2Cl, from the Alexandria database.

a = 5.835 Å, b = 5.835 Å, c = 5.835 Å
α = 138.47°, β = 110.87°, γ = 83.98°
Element x y z (fractional)
K (0.726, 0.226, 0.500)
Ag (0.055, 0.055, 0.000)
Ag (0.257, 0.757, 0.500)
Cl (0.462, 0.462, 0.000)

Computed properties:
spin magnetization	0.000	μB/atom



*B*
The following is a PBE calculation of a relaxed structure of KAg2Cl, from the Alexandria database.

a = 3.738 Å, b = 3.943 Å, c = 7.448 Å
α = 74.84°, β = 90.00°, γ = 90.00°
Element x y z (fractional)
K (0.500, 0.713, 0.701)
Ag (0.000, 0.018, 0.089)
Ag (0.500, 0.468, 0.189)
Cl (0.000, 0.302, 0.520)

Computed properties:
Fermi-level density of states	0.5	states/eV/f.u.
spin magnetization	0.000	μB/atom



*C*
The following is a PBE calculation of a relaxed structure of KAg2Cl, from the Alexandria database.

a = 6.978 Å, b = 6.978 Å, c = 3.119 Å
α = 90.00°, β = 90.00°, γ = 132.87°
Element x y z (fractional)
K (0.000, 0.500, 0.500)
Ag (0.000, 0.000, 0.000)
Ag (0.500, 0.500, 0.000)
Cl (0.500, 0.000, 0.500)

Computed properties:
Fermi-level density of states	1.2	states/eV/f.u.
spin magnetization	0.000	μB/atom



Name the least stable of them. *C*.